No. 1
## SrMn3Au (PBE)

Data for an optimized crystal structure of SrMn3Au.

Properties
* energy relative to the lowest polymorph listed for this composition: 1417.9 meV/atom
* VASP energy: -4.4951 eV/atom
* crystal system: cubic

```
data_SrMn3Au
_chemical_formula_sum 'Sr1 Mn3 Au1'
_cell_length_a 4.904
_cell_length_b 4.904
_cell_length_c 4.904
_cell_angle_alpha 90.00
_cell_angle_beta 90.00
_cell_angle_gamma 90.00
_symmetry_space_group_name_H-M 'P m -3 m'
_symmetry_Int_Tables_number 221
_symmetry_space_group_name_Hall '-P 4 2 3'
loop_
_atom_site_label
_atom_site_type_symbol
_atom_site_fract_x
_atom_site_fract_y
_atom_site_fract_z
Sr1 Sr 0.000 0.000 0.000
Mn1 Mn 0.000 0.000 0.500
Au1 Au 0.500 0.500 0.500
```



No. 2
## K2TeRh (PBE)

Data for an optimized crystal structure of K2TeRh.

Properties
* uncorrected formation energy: 0.340 eV per atom
* VASP energy: -2.8318 eV/atom
* crystal system: trigonal

```
data_K2TeRh
_chemical_formula_sum 'K6 Te3 Rh3'
_cell_length_a 3.4844
_cell_length_b 3.4844
_cell_length_c 32.5365
_cell_angle_alpha 90.00
_cell_angle_beta 90.00
_cell_angle_gamma 120.00
_symmetry_space_group_name_H-M 'R -3 m'
_symmetry_Int_Tables_number 166
_symmetry_space_group_name_Hall '-R 3 2"'
loop_
_atom_site_label
_atom_site_type_symbol
_atom_site_fract_x
_atom_site_fract_y
_atom_site_fract_z
K1 K 0.0000 0.0000 0.2436
Te1 Te 0.0000 0.0000 0.0000
Rh1 Rh 0.0000 0.0000 0.5000
```